{"formula": "SmMoO5", "functional": "GGA+U", "state": "optimized geometry", "n_ef_per_ev_cell": 0.00, "polymorph_energy_ev_per_atom": 0.000, "cell": [[5.4286, 0.0000, 0.0000], [0.0000, 12.8296, 0.0000], [-3.2057, 0.0000, 6.3037]], "species": ["Sm", "Sm", "Sm", "Sm", "Mo", "Mo", "Mo", "Mo", "O", "O", "O", "O", "O", "O", "O", "O", "O", "O", "O", "O", "O", "O", "O", "O", "O", "O", "O", "O"], "fractional_positions": [[0.1573, 0.0614, 0.2831], [0.1573, 0.4386, 0.7831], [0.8427, 0.5614, 0.2169], [0.8427, 0.9386, 0.7169], [0.4091, 0.1345, 0.8502], [0.4091, 0.3655, 0.3502], [0.5909, 0.6345, 0.6498], [0.5909, 0.8655, 0.1498], [0.0409, 0.5547, 0.9849], [0.0409, 0.9453, 0.4849], [0.2046, 0.0586, 0.9543], [0.2046, 0.4414, 0.4543], [0.2675, 0.2397, 0.2634], [0.2675, 0.2603, 0.7634], [0.2752, 0.6569, 0.4227], [0.2752, 0.8431, 0.9227], [0.4864, 0.5757, 0.8406], [0.4864, 0.9243, 0.3406], [0.5136, 0.0757, 0.6594], [0.5136, 0.4243, 0.1594], [0.7248, 0.1569, 0.0773], [0.7248, 0.3431, 0.5773], [0.7325, 0.7397, 0.2366], [0.7325, 0.7603, 0.7366], [0.7954, 0.5586, 0.5457], [0.7954, 0.9414, 0.0457], [0.9591, 0.0547, 0.5151], [0.9591, 0.4453, 0.0151]]}